The following is a DFT calculation (PBE) of an optimized crystal structure of KHfPPt2.

Size of the total moment (μB/f.u.): 1.7
Energy relative to the elements (eV/f.u.): 5.2
Calculated volume (A^3/atom): 33.49

abc: 4.923 4.923 6.909
angles: 90.00 90.00 90.00
Space group P4/mmm (No. 123)
Unique sites:
1 K 0.000 0.000 0.000 (multiplicity 1)
2 Hf 0.000 0.000 0.500 (multiplicity 1)
3 P 0.500 0.500 0.000 (multiplicity 1)
4 Pt 0.000 0.500 0.500 (multiplicity 2)